1.
Entry from Alexandria via LeMat-Bulk: Ta2Ti4Nb2Mo after structural relaxation (GGA-PBE). Values from VASP.

## Properties
Total magnetization (Bohr magnetons per cell): 0.00
ΔE_f (eV per formula unit): -0.3

```
&SYSTEM
  ibrav = 0, nat = 9, ntyp = 4
/
ATOMIC_SPECIES
Ta 180.95 Ta.upf
Ti 47.87 Ti.upf
Nb 92.91 Nb.upf
Mo 95.94 Mo.upf
CELL_PARAMETERS angstrom
5.156 0.638 1.541
0.043 7.335 -0.037
-1.200 -3.661 3.807
ATOMIC_POSITIONS angstrom
Ta 1.414 4.391 3.170
Ta 2.586 -0.079 2.141
Ti 3.205 2.253 3.785
Ti 4.214 4.949 2.733
Ti 0.794 2.059 1.526
Ti -0.215 -0.638 2.578
Nb 2.281 -0.808 4.828
Nb 1.718 5.120 0.482
Mo 0.000 0.000 0.000
```



2.
Entry from Alexandria via LeMat-Bulk: Ta2TiNb2Mo6 after structural relaxation (GGA-PBE). Values from VASP.

## Properties
Total magnetization (Bohr magnetons per cell): 0.00
ΔE_f (eV per formula unit): 6.5

```
&SYSTEM
  ibrav = 0, nat = 11, ntyp = 4
/
ATOMIC_SPECIES
Ta 180.95 Ta.upf
Ti 47.87 Ti.upf
Nb 92.91 Nb.upf
Mo 95.94 Mo.upf
CELL_PARAMETERS angstrom
-1.332 5.114 1.776
-1.360 0.829 5.343
6.171 3.266 3.973
ATOMIC_POSITIONS angstrom
Ta 4.120 7.181 8.661
Ta -0.641 2.027 2.431
Ti 0.000 0.000 0.000
Nb 2.983 4.830 5.828
Nb 0.496 4.378 5.265
Mo 1.863 1.399 1.696
Mo 1.190 3.983 2.594
Mo 1.176 1.818 4.396
Mo 2.303 7.390 6.697
Mo 2.288 5.225 8.498
Mo 1.615 7.809 9.396
```



3.
Entry from Alexandria via LeMat-Bulk: TaTiNb2Mo after structural relaxation (GGA-PBE). Values from VASP.

## Properties
Total magnetization (Bohr magnetons per cell): 0.00
ΔE_f (eV per formula unit): -0.3

```
&SYSTEM
  ibrav = 0, nat = 10, ntyp = 4
/
ATOMIC_SPECIES
Ta 180.95 Ta.upf
Ti 47.87 Ti.upf
Nb 92.91 Nb.upf
Mo 95.94 Mo.upf
CELL_PARAMETERS angstrom
4.600 0.000 0.000
0.000 7.133 0.240
0.000 -1.290 5.257
ATOMIC_POSITIONS angstrom
Ta 1.150 -0.217 5.037
Ta 3.450 6.061 0.460
Ti 1.150 6.229 2.172
Ti 3.450 -0.386 3.325
Nb 3.450 4.055 2.563
Nb 1.150 1.788 2.934
Nb 3.450 2.068 4.622
Nb 1.150 3.775 0.875
Mo 1.150 4.399 4.159
Mo 3.450 1.444 1.338
```



4.
Entry from Alexandria via LeMat-Bulk: TaTi2Nb2Mo6 after structural relaxation (GGA-PBE). Values from VASP.

## Properties
Total magnetization (Bohr magnetons per cell): 0.00
ΔE_f (eV per formula unit): 11.4

```
&SYSTEM
  ibrav = 0, nat = 11, ntyp = 4
/
ATOMIC_SPECIES
Ta 180.95 Ta.upf
Ti 47.87 Ti.upf
Nb 92.91 Nb.upf
Mo 95.94 Mo.upf
CELL_PARAMETERS angstrom
6.362 0.000 0.000
3.181 5.510 0.000
3.181 1.837 6.128
ATOMIC_POSITIONS angstrom
Ta 0.000 0.000 0.000
Ti 9.544 5.510 2.771
Ti 3.181 1.837 3.357
Nb 6.362 3.673 4.592
Nb 6.362 3.673 1.536
Mo 1.931 1.115 1.114
Mo 4.432 1.115 1.114
Mo 3.181 3.281 1.114
Mo 9.544 4.066 5.014
Mo 8.293 6.232 5.014
Mo 10.794 6.232 5.014
```



5.
Entry from Alexandria via LeMat-Bulk: TaNbVMo after structural relaxation (GGA-PBE). Values from VASP.

## Properties
Distance to the lowest polymorph of the same formula (meV per atom): 12
Total magnetization (Bohr magnetons per cell): 0.00
ΔE_f (eV per formula unit): -0.3

```
&SYSTEM
  ibrav = 0, nat = 4, ntyp = 4
/
ATOMIC_SPECIES
Mo 95.94 Mo.upf
V 50.94 V.upf
Nb 92.91 Nb.upf
Ta 180.95 Ta.upf
CELL_PARAMETERS angstrom
-1.522 -3.170 2.864
1.772 -4.174 -0.087
2.626 -1.420 3.414
ATOMIC_POSITIONS angstrom
Mo 2.157 -6.573 4.643
V 0.719 -2.191 1.548
Nb 1.438 -4.382 3.095
Ta 0.000 0.000 0.000
```



6.
Entry from Alexandria via LeMat-Bulk: TaNbVMo after structural relaxation (GGA-PBE). Values from VASP.

## Properties
Distance to the lowest polymorph of the same formula (meV per atom): 0
Total magnetization (Bohr magnetons per cell): 0.00
ΔE_f (eV per formula unit): -0.3

```
&SYSTEM
  ibrav = 0, nat = 4, ntyp = 4
/
ATOMIC_SPECIES
Ta 180.95 Ta.upf
Nb 92.91 Nb.upf
V 50.94 V.upf
Mo 95.94 Mo.upf
CELL_PARAMETERS angstrom
3.190 0.000 0.000
0.000 4.531 0.000
-1.595 -2.265 4.561
ATOMIC_POSITIONS angstrom
Ta 1.595 0.000 4.203
Nb 0.000 0.000 1.815
V 1.595 2.265 1.997
Mo 0.000 2.265 4.137
```



7.
Entry from Alexandria via LeMat-Bulk: TaNb2Mo6W2 after structural relaxation (GGA-PBE). Values from VASP.

## Properties
Total magnetization (Bohr magnetons per cell): 0.00
ΔE_f (eV per formula unit): 7.1

```
&SYSTEM
  ibrav = 0, nat = 11, ntyp = 4
/
ATOMIC_SPECIES
Ta 180.95 Ta.upf
Nb 92.91 Nb.upf
Mo 95.94 Mo.upf
W 183.84 W.upf
CELL_PARAMETERS angstrom
5.368 0.000 0.000
2.684 4.649 0.000
2.684 1.550 7.962
ATOMIC_POSITIONS angstrom
Ta 0.000 0.000 0.000
Nb 5.368 3.099 0.210
Nb 5.368 3.099 7.752
Mo 1.344 0.776 2.354
Mo 4.024 0.776 2.354
Mo 2.684 3.097 2.354
Mo 8.052 3.102 5.608
Mo 6.712 5.422 5.608
Mo 9.391 5.422 5.608
W 5.368 3.099 5.200
W 5.368 3.099 2.762
```



8.
Entry from Alexandria via LeMat-Bulk: TaNbMoW after structural relaxation (GGA-PBE). Values from VASP.

## Properties
Total magnetization (Bohr magnetons per cell): 0.00
ΔE_f (eV per formula unit): -0.5

```
&SYSTEM
  ibrav = 0, nat = 4, ntyp = 4
/
ATOMIC_SPECIES
Ta 180.95 Ta.upf
Nb 92.91 Nb.upf
Mo 95.94 Mo.upf
W 183.84 W.upf
CELL_PARAMETERS angstrom
-0.407 -0.655 -3.142
-2.203 -2.246 0.754
-4.671 4.472 -0.327
ATOMIC_POSITIONS angstrom
Ta -1.810 -0.967 -1.230
Nb -4.135 1.258 -1.392
Mo -1.668 1.596 -0.117
W -4.003 3.832 -0.280
```



Copy entry 8 word for word.
Entry from Alexandria via LeMat-Bulk: TaNbMoW after structural relaxation (GGA-PBE). Values from VASP.

## Properties
Total magnetization (Bohr magnetons per cell): 0.00
ΔE_f (eV per formula unit): -0.5

```
&SYSTEM
  ibrav = 0, nat = 4, ntyp = 4
/
ATOMIC_SPECIES
Ta 180.95 Ta.upf
Nb 92.91 Nb.upf
Mo 95.94 Mo.upf
W 183.84 W.upf
CELL_PARAMETERS angstrom
-0.407 -0.655 -3.142
-2.203 -2.246 0.754
-4.671 4.472 -0.327
ATOMIC_POSITIONS angstrom
Ta -1.810 -0.967 -1.230
Nb -4.135 1.258 -1.392
Mo -1.668 1.596 -0.117
W -4.003 3.832 -0.280
```